Record 1
CaSnHPd2: relaxed, GGA-PBE.

Computed properties:
- raw total energy (eV/atom) = -4.5968

abc: 3.6855 6.3848 7.7326
angles: 90.00 90.00 106.77
Fractional positions:
Ca1 0.4738 0.9475 0.7500
Ca2 0.5262 0.0525 0.2500
Sn1 0.7474 0.4947 0.7500
Sn2 0.2526 0.5053 0.2500
H1 0.0000 0.0000 0.0000
H2 0.0000 0.0000 0.5000
Pd1 0.1429 0.2858 0.9471
Pd2 0.8571 0.7142 0.0529
Pd3 0.1429 0.2858 0.5529
Pd4 0.8571 0.7142 0.4471



Record 2
Ca2SnHPd6: relaxed, GGA-PBE.

Computed properties:
- raw total energy (eV/atom) = -4.8301

abc: 5.7925 7.0536 5.7908
angles: 66.04 60.00 89.98
Fractional positions:
Ca1 0.7280 0.1802 0.5446
Ca2 0.2720 0.8198 0.4554
Sn1 0.0000 0.0000 0.0000
H1 0.5000 0.5000 0.0000
Pd1 0.2756 0.3200 0.4496
Pd2 0.7231 0.6777 0.0497
Pd3 0.2261 0.6770 0.0503
Pd4 0.7739 0.3230 0.9497
Pd5 0.2769 0.3223 0.9503
Pd6 0.7244 0.6800 0.5504



Record 3
Sr2CaHPd: relaxed, GGA-PBE.

Computed properties:
- raw total energy (eV/atom) = -3.0416

abc: 5.1610 5.1610 4.8928
angles: 90.00 90.00 90.00
Fractional positions:
Sr1 0.0000 0.5000 0.0000
Sr2 0.5000 0.0000 0.0000
Ca1 0.0000 0.0000 0.5000
Pd1 0.5000 0.5000 0.5000
H1 0.0000 0.0000 0.0000



Record 4
SrCa2HPd: relaxed, GGA-PBE.

Computed properties:
- raw total energy (eV/atom) = -3.1428

abc: 4.8548 4.8548 5.1324
angles: 90.00 90.00 90.00
Fractional positions:
Sr1 0.0000 0.0000 0.5000
Ca1 0.0000 0.5000 0.0000
Ca2 0.5000 0.0000 0.0000
Pd1 0.5000 0.5000 0.5000
H1 0.0000 0.0000 0.0000



Record 5
SrCaH6Pd2: relaxed, GGA-PBE.

Computed properties:
- raw total energy (eV/atom) = -3.8396

abc: 6.5484 6.5484 6.9361
angles: 111.23 111.23 75.67
Fractional positions:
Sr1 0.1539 0.8461 0.2500
Sr2 0.8461 0.1539 0.7500
Ca1 0.6453 0.3547 0.2500
Ca2 0.3547 0.6453 0.7500
H1 0.9604 0.1827 0.1403
H2 0.8173 0.0396 0.3597
H3 0.0396 0.8173 0.8597
H4 0.1827 0.9604 0.6403
H5 0.2576 0.2486 0.0155
H6 0.7514 0.7424 0.4845
H7 0.7424 0.7514 0.9845
H8 0.2486 0.2576 0.5155
H9 0.3442 0.5236 0.3835
H10 0.4764 0.6558 0.1165
H11 0.6558 0.4764 0.6165
H12 0.5236 0.3442 0.8835
Pd1 0.3301 0.1751 0.7617
Pd2 0.8249 0.6699 0.7383
Pd3 0.6699 0.8249 0.2383
Pd4 0.1751 0.3301 0.2617



Record 6
CaTa2HPd: relaxed, GGA-PBE.

Computed properties:
- raw total energy (eV/atom) = -5.3569

abc: 4.8683 5.7380 4.8683
angles: 90.00 90.00 90.00
Each line ends with the local moment (μB).
Fractional positions:
H1 0.5000 0.5000 0.5000  -0.04
Ca1 0.0000 0.5000 0.0000  0.03
Pd1 0.0000 0.0000 0.0000  0.04
Ta1 0.0000 0.0000 0.5000  0.61
Ta2 0.5000 0.0000 0.0000  0.62